{"formula": "TlInOs3", "functional": "PBE", "state": "relaxed", "cell": [[4.886, 0.000, 0.000], [0.000, 4.886, 0.000], [0.000, 0.000, 4.886]], "species": ["Tl", "In", "Os", "Os", "Os"], "fractional_positions": [[0.000, 0.000, 0.000], [0.500, 0.500, 0.500], [0.000, 0.500, 0.500], [0.500, 0.000, 0.500], [0.500, 0.500, 0.000]], "magmom_total_mub_per_fu": 3.54, "sg": "Pm-3m (221)", "rho_kg_m3": 12665, "n_ef_per_ev_cell": 6.72, "relative_energy_mev_per_atom": 0}